1.
Here is an optimized crystal structure of BiAsS2 from the Alexandria database. Energies are from PBE.

Structure (POSCAR):
```
BiAsS2
1.0
7.3512 0.0000 0.0000
0.0000 7.3512 0.0000
0.0000 0.0000 6.7243
Bi As S
4 4 8
Direct
0.0000 0.0000 0.0000
0.0000 0.5000 0.2500
0.5000 0.0000 0.7500
0.5000 0.5000 0.5000
0.0000 0.0000 0.5000
0.0000 0.5000 0.7500
0.5000 0.0000 0.2500
0.5000 0.5000 0.0000
0.2231 0.2500 0.6250
0.2500 0.7231 0.8750
0.2500 0.7769 0.3750
0.2769 0.2500 0.1250
0.7231 0.7500 0.1250
0.7500 0.2231 0.3750
0.7500 0.2769 0.8750
0.7769 0.7500 0.6250
```

## Properties
**Total moment**: 0.00 μB/cell
**Space group**: No. 122
**Crystal system**: tetragonal

2.
Here is an optimized crystal structure of BiAsS2 from the Alexandria database. Energies are from PBE.

Structure (POSCAR):
```
BiAsS2
1.0
6.8767 0.0000 0.0000
0.0000 6.8767 0.0000
0.0000 0.0000 6.8767
Bi As S
4 4 8
Direct
0.0000 0.0000 0.0000
0.0000 0.5000 0.5000
0.5000 0.0000 0.5000
0.5000 0.5000 0.0000
0.0000 0.0000 0.5000
0.0000 0.5000 0.0000
0.5000 0.0000 0.0000
0.5000 0.5000 0.5000
0.2500 0.2500 0.2500
0.2500 0.2500 0.7500
0.2500 0.7500 0.2500
0.2500 0.7500 0.7500
0.7500 0.2500 0.2500
0.7500 0.2500 0.7500
0.7500 0.7500 0.2500
0.7500 0.7500 0.7500
```

## Properties
**Total moment**: 0.00 μB/cell
**Space group**: No. 225
**Crystal system**: cubic

3.
Here is an optimized crystal structure of BiAsS2 from the Alexandria database. Energies are from PBE.

Structure (POSCAR):
```
BiAsS2
1.0
3.6398 0.0000 0.0000
-1.8199 3.1521 0.0000
0.0000 0.0000 25.6320
Bi As S
3 3 6
Direct
0.0000 0.0000 0.0000
0.3333 0.6667 0.6667
0.6667 0.3333 0.3333
0.0000 0.0000 0.5000
0.3333 0.6667 0.1667
0.6667 0.3333 0.8333
0.0000 0.0000 0.1091
0.0000 0.0000 0.8909
0.3333 0.6667 0.5576
0.3333 0.6667 0.7757
0.6667 0.3333 0.2243
0.6667 0.3333 0.4424
```

## Properties
**Total moment**: 0.00 μB/cell
**Space group**: No. 166
**Crystal system**: trigonal

Bottom line: 3, by a margin of 145 meV/atom.

1.
Here is an optimized crystal structure of BiAsSe2S from the Alexandria database. Energies are from PBE.

Structure (POSCAR):
```
BiAsSe2S
1.0
4.8762 0.0000 0.0000
0.0000 4.8762 0.0000
0.0000 0.0000 4.9399
Bi As Se S
1 1 2 1
Direct
0.0000 0.0000 0.0000
0.5000 0.5000 0.0000
0.0000 0.5000 0.5000
0.5000 0.0000 0.5000
0.5000 0.5000 0.5000
```

## Properties
**Total moment**: 0.00 μB/cell
**Space group**: No. 123
**Crystal system**: tetragonal

2.
Here is an optimized crystal structure of BiAsSe2S from the Alexandria database. Energies are from PBE.

Structure (POSCAR):
```
BiAsSe2S
1.0
5.5533 0.0000 0.0000
0.0000 5.5533 0.0000
0.0000 0.0000 5.5734
Bi As Se S
1 1 2 1
Direct
0.0000 0.0000 0.0000
0.0000 0.0000 0.5000
0.0000 0.5000 0.0000
0.5000 0.0000 0.0000
0.5000 0.5000 0.5000
```

## Properties
**Total moment**: 3.79 μB/cell
**Space group**: No. 123
**Crystal system**: tetragonal

Bottom line: 1, by a margin of 742 meV/atom.

1.
Here is an optimized crystal structure of BiSbAs from the Alexandria database. Energies are from PBE.

Structure (POSCAR):
```
BiSbAs
1.0
5.5638 0.0000 0.0000
-2.7819 4.8184 0.0000
0.0000 0.0000 3.0930
Bi Sb As
1 1 1
Direct
0.0000 0.0000 0.0000
0.3333 0.6667 0.0000
0.6667 0.3333 0.0000
```

## Properties
**Total moment**: 0.00 μB/cell
**Space group**: No. 187
**Crystal system**: hexagonal

2.
Here is an optimized crystal structure of BiSbAs from the Alexandria database. Energies are from PBE.

Structure (POSCAR):
```
BiSbAs
1.0
19.4844 0.0000 0.0000
0.0000 4.2372 0.0000
-0.6048 0.0000 4.5180
Bi Sb As
4 4 4
Direct
0.0000 0.0000 0.0000
0.0381 0.5000 0.5492
0.5000 0.5000 0.0000
0.5381 0.0000 0.5492
0.1952 0.5000 0.6498
0.3434 0.0000 0.3009
0.6952 0.0000 0.6498
0.8434 0.5000 0.3009
0.2035 0.0000 0.2606
0.3524 0.5000 0.9123
0.7035 0.5000 0.2606
0.8524 0.0000 0.9123
```

## Properties
**Total moment**: 0.00 μB/cell
**Space group**: No. 8
**Crystal system**: monoclinic

Bottom line: 2, by a margin of 175 meV/atom.

1.
Here is an optimized crystal structure of BiSbAs2 from the Alexandria database. Energies are from PBE.

Structure (POSCAR):
```
BiSbAs2
1.0
4.3986 0.0000 0.0000
0.0000 4.1817 0.0000
-0.4776 0.0000 6.0717
Bi Sb As
1 1 2
Direct
0.0000 0.0000 0.0000
0.5077 0.5000 0.4934
0.4397 0.5000 0.0434
0.9217 0.0000 0.5288
```

## Properties
**Total moment**: 0.00 μB/cell
**Space group**: No. 6
**Crystal system**: monoclinic

2.
Here is an optimized crystal structure of BiSbAs2 from the Alexandria database. Energies are from PBE.

Structure (POSCAR):
```
BiSbAs2
1.0
7.2861 0.0000 0.0000
0.0000 7.2861 0.0000
0.0000 0.0000 7.2861
Bi Sb As
4 4 8
Direct
0.0000 0.0000 0.0000
0.0000 0.5000 0.5000
0.5000 0.0000 0.5000
0.5000 0.5000 0.0000
0.0000 0.0000 0.5000
0.0000 0.5000 0.0000
0.5000 0.0000 0.0000
0.5000 0.5000 0.5000
0.2500 0.2500 0.2500
0.2500 0.2500 0.7500
0.2500 0.7500 0.2500
0.2500 0.7500 0.7500
0.7500 0.2500 0.2500
0.7500 0.2500 0.7500
0.7500 0.7500 0.2500
0.7500 0.7500 0.7500
```

## Properties
**Total moment**: 0.00 μB/cell
**Space group**: No. 225
**Crystal system**: cubic

3.
Here is an optimized crystal structure of BiSbAs2 from the Alexandria database. Energies are from PBE.

Structure (POSCAR):
```
BiSbAs2
1.0
4.0811 0.0000 0.0000
-2.0405 3.5343 0.0000
0.0000 0.0000 24.2265
Bi Sb As
3 3 6
Direct
0.0000 0.0000 0.0000
0.3333 0.6667 0.6667
0.6667 0.3333 0.3333
0.0000 0.0000 0.8224
0.3333 0.6667 0.4890
0.6667 0.3333 0.1557
0.0000 0.0000 0.2148
0.0000 0.0000 0.3970
0.3333 0.6667 0.0637
0.3333 0.6667 0.8814
0.6667 0.3333 0.5481
0.6667 0.3333 0.7304
```

## Properties
**Total moment**: 0.00 μB/cell
**Space group**: No. 160
**Crystal system**: trigonal

4.
Here is an optimized crystal structure of BiSbAs2 from the Alexandria database. Energies are from PBE.

Structure (POSCAR):
```
BiSbAs2
1.0
4.1874 0.0000 0.0000
-2.0937 3.6264 0.0000
0.0000 0.0000 20.6944
Bi Sb As
3 3 6
Direct
0.0000 0.0000 0.0000
0.3333 0.6667 0.6667
0.6667 0.3333 0.3333
0.0000 0.0000 0.5000
0.3333 0.6667 0.1667
0.6667 0.3333 0.8333
0.0000 0.0000 0.2463
0.0000 0.0000 0.7537
0.3333 0.6667 0.4204
0.3333 0.6667 0.9129
0.6667 0.3333 0.0871
0.6667 0.3333 0.5796
```

## Properties
**Total moment**: 0.00 μB/cell
**Space group**: No. 166
**Crystal system**: trigonal

Bottom line: 1, by a margin of 32 meV/atom.

1.
Here is an optimized crystal structure of BiSb3As from the Alexandria database. Energies are from PBE.

Structure (POSCAR):
```
BiSb3As
1.0
5.3871 0.0000 0.0000
0.0000 5.3871 0.0000
0.0000 0.0000 5.3871
Bi Sb As
1 3 1
Direct
0.0000 0.0000 0.0000
0.0000 0.5000 0.5000
0.5000 0.0000 0.5000
0.5000 0.5000 0.0000
0.5000 0.5000 0.5000
```

## Properties
**Total moment**: 0.00 μB/cell
**Space group**: No. 221
**Crystal system**: cubic

2.
Here is an optimized crystal structure of BiSb3As from the Alexandria database. Energies are from PBE.

Structure (POSCAR):
```
BiSb3As
1.0
5.7987 0.0000 0.0000
0.0000 5.7987 0.0000
0.0000 0.0000 5.7987
Bi Sb As
1 3 1
Direct
0.0000 0.0000 0.0000
0.0000 0.0000 0.5000
0.0000 0.5000 0.0000
0.5000 0.0000 0.0000
0.5000 0.5000 0.5000
```

## Properties
**Total moment**: 0.00 μB/cell
**Space group**: No. 221
**Crystal system**: cubic

Bottom line: 1, by a margin of 678 meV/atom.

1.
Here is an optimized crystal structure of BiSb2As2 from the Alexandria database. Energies are from PBE.

Structure (POSCAR):
```
BiSb2As2
1.0
3.9768 0.0000 0.0000
0.0000 3.9768 0.0000
0.0000 0.0000 16.6863
Bi Sb As
2 4 4
Direct
0.0000 0.0000 0.0000
0.5000 0.5000 0.5000
0.0000 0.0000 0.3959
0.0000 0.0000 0.6041
0.5000 0.5000 0.1041
0.5000 0.5000 0.8959
0.0000 0.5000 0.2500
0.0000 0.5000 0.7500
0.5000 0.0000 0.2500
0.5000 0.0000 0.7500
```

## Properties
**Total moment**: 0.00 μB/cell
**Space group**: No. 139
**Crystal system**: tetragonal

2.
Here is an optimized crystal structure of BiSb2As2 from the Alexandria database. Energies are from PBE.

Structure (POSCAR):
```
BiSb2As2
1.0
8.4228 0.0000 0.0000
0.0000 8.4228 0.0000
0.0000 0.0000 3.8020
Bi Sb As
2 4 4
Direct
0.0000 0.0000 0.0000
0.5000 0.5000 0.0000
0.1684 0.3316 0.5000
0.3316 0.8316 0.5000
0.6684 0.1684 0.5000
0.8316 0.6684 0.5000
0.1689 0.6689 0.0000
0.3311 0.1689 0.0000
0.6689 0.8311 0.0000
0.8311 0.3311 0.0000
```

## Properties
**Total moment**: 0.00 μB/cell
**Space group**: No. 127
**Crystal system**: tetragonal

Bottom line: 2, by a margin of 55 meV/atom.

1.
Here is an optimized crystal structure of Bi2SbAs from the Alexandria database. Energies are from PBE.

Structure (POSCAR):
```
Bi2SbAs
1.0
7.5942 0.0000 0.0000
0.0000 7.5942 0.0000
0.0000 0.0000 7.5942
Bi Sb As
8 4 4
Direct
0.2500 0.2500 0.2500
0.2500 0.2500 0.7500
0.2500 0.7500 0.2500
0.2500 0.7500 0.7500
0.7500 0.2500 0.2500
0.7500 0.2500 0.7500
0.7500 0.7500 0.2500
0.7500 0.7500 0.7500
0.0000 0.0000 0.0000
0.0000 0.5000 0.5000
0.5000 0.0000 0.5000
0.5000 0.5000 0.0000
0.0000 0.0000 0.5000
0.0000 0.5000 0.0000
0.5000 0.0000 0.0000
0.5000 0.5000 0.5000
```

## Properties
**Total moment**: 0.00 μB/cell
**Space group**: No. 225
**Crystal system**: cubic

2.
Here is an optimized crystal structure of Bi2SbAs from the Alexandria database. Energies are from PBE.

Structure (POSCAR):
```
Bi2SbAs
1.0
4.3961 0.0000 0.0000
-2.1980 3.8071 0.0000
0.0000 0.0000 21.5097
Bi Sb As
6 3 3
Direct
0.0000 0.0000 0.2445
0.0000 0.0000 0.7555
0.3333 0.6667 0.4222
0.3333 0.6667 0.9111
0.6667 0.3333 0.0889
0.6667 0.3333 0.5778
0.0000 0.0000 0.0000
0.3333 0.6667 0.6667
0.6667 0.3333 0.3333
0.0000 0.0000 0.5000
0.3333 0.6667 0.1667
0.6667 0.3333 0.8333
```

## Properties
**Total moment**: 0.00 μB/cell
**Space group**: No. 166
**Crystal system**: trigonal

3.
Here is an optimized crystal structure of Bi2SbAs from the Alexandria database. Energies are from PBE.

Structure (POSCAR):
```
Bi2SbAs
1.0
6.9699 0.0000 0.0000
0.0000 6.9699 0.0000
0.0000 0.0000 13.6364
Bi Sb As
8 4 4
Direct
0.2250 0.2500 0.1250
0.2500 0.7250 0.3750
0.2500 0.7750 0.8750
0.2750 0.2500 0.6250
0.7250 0.7500 0.6250
0.7500 0.2250 0.8750
0.7500 0.2750 0.3750
0.7750 0.7500 0.1250
0.0000 0.0000 0.5000
0.0000 0.5000 0.7500
0.5000 0.0000 0.2500
0.5000 0.5000 0.0000
0.0000 0.0000 0.0000
0.0000 0.5000 0.2500
0.5000 0.0000 0.7500
0.5000 0.5000 0.5000
```

## Properties
**Total moment**: 0.00 μB/cell
**Space group**: No. 122
**Crystal system**: tetragonal

Bottom line: 2, by a margin of 178 meV/atom.

1.
Here is an optimized crystal structure of ScBiAs3 from the Alexandria database. Energies are from PBE.

Structure (POSCAR):
```
ScBiAs3
1.0
5.1134 0.0000 0.0000
0.0000 5.1134 0.0000
0.0000 0.0000 5.1134
Sc Bi As
1 1 3
Direct
0.0000 0.0000 0.0000
0.5000 0.5000 0.5000
0.0000 0.0000 0.5000
0.0000 0.5000 0.0000
0.5000 0.0000 0.0000
```

## Properties
**Total moment**: 0.00 μB/cell
**Space group**: No. 221
**Crystal system**: cubic

2.
Here is an optimized crystal structure of ScBiAs3 from the Alexandria database. Energies are from PBE.

Structure (POSCAR):
```
ScBiAs3
1.0
5.3388 0.0000 0.0000
0.0000 5.3388 0.0000
0.0000 0.0000 5.3388
Sc Bi As
1 1 3
Direct
0.0000 0.0000 0.0000
0.5000 0.5000 0.5000
0.0000 0.5000 0.5000
0.5000 0.0000 0.5000
0.5000 0.5000 0.0000
```

## Properties
**Total moment**: 0.00 μB/cell
**Space group**: No. 221
**Crystal system**: cubic

Bottom line: 1, by a margin of 630 meV/atom.

1.
Here is an optimized crystal structure of Sc2BiAs2 from the Alexandria database. Energies are from PBE.

Structure (POSCAR):
```
Sc2BiAs2
1.0
7.7363 0.0000 0.0000
0.0000 7.7363 0.0000
0.0000 0.0000 3.6462
Sc Bi As
4 2 4
Direct
0.1486 0.3514 0.0000
0.3514 0.8514 0.0000
0.6486 0.1486 0.0000
0.8514 0.6486 0.0000
0.0000 0.0000 0.0000
0.5000 0.5000 0.0000
0.1546 0.6546 0.5000
0.3454 0.1546 0.5000
0.6546 0.8454 0.5000
0.8454 0.3454 0.5000
```

## Properties
**Total moment**: 0.00 μB/cell
**Space group**: No. 127
**Crystal system**: tetragonal

2.
Here is an optimized crystal structure of Sc2BiAs2 from the Alexandria database. Energies are from PBE.

Structure (POSCAR):
```
Sc2BiAs2
1.0
3.8894 0.0000 0.0000
0.0000 3.8894 0.0000
0.0000 0.0000 14.7886
Sc Bi As
4 2 4
Direct
0.0000 0.0000 0.1135
0.0000 0.0000 0.8865
0.5000 0.5000 0.3865
0.5000 0.5000 0.6135
0.0000 0.0000 0.5000
0.5000 0.5000 0.0000
0.0000 0.5000 0.2500
0.0000 0.5000 0.7500
0.5000 0.0000 0.2500
0.5000 0.0000 0.7500
```

## Properties
**Total moment**: 0.00 μB/cell
**Space group**: No. 139
**Crystal system**: tetragonal

Bottom line: 2, by a margin of 53 meV/atom.

1.
Here is an optimized crystal structure of Sc3BiAs from the Alexandria database. Energies are from PBE.

Structure (POSCAR):
```
Sc3BiAs
1.0
5.0516 0.0000 0.0000
0.0000 5.0516 0.0000
0.0000 0.0000 5.0516
Sc Bi As
3 1 1
Direct
0.0000 0.0000 0.5000
0.0000 0.5000 0.0000
0.5000 0.0000 0.0000
0.5000 0.5000 0.5000
0.0000 0.0000 0.0000
```

## Properties
**Total moment**: 0.00 μB/cell
**Space group**: No. 221
**Crystal system**: cubic

2.
Here is an optimized crystal structure of Sc3BiAs from the Alexandria database. Energies are from PBE.

Structure (POSCAR):
```
Sc3BiAs
1.0
5.3931 0.0000 0.0000
0.0000 5.3931 0.0000
0.0000 0.0000 5.3931
Sc Bi As
3 1 1
Direct
0.0000 0.0000 0.5000
0.0000 0.5000 0.0000
0.5000 0.0000 0.0000
0.0000 0.0000 0.0000
0.5000 0.5000 0.5000
```

## Properties
**Total moment**: 1.76 μB/cell
**Space group**: No. 221
**Crystal system**: cubic

3.
Here is an optimized crystal structure of Sc3BiAs from the Alexandria database. Energies are from PBE.

Structure (POSCAR):
```
Sc3BiAs
1.0
4.8107 -6.4032 0.0000
4.8107 6.4032 0.0000
0.0000 0.0000 4.0587
Sc Bi As
6 2 2
Direct
0.1744 0.8256 0.0000
0.1897 0.4425 0.5000
0.4425 0.1897 0.5000
0.5575 0.8103 0.5000
0.8103 0.5575 0.5000
0.8256 0.1744 0.0000
0.0000 0.0000 0.5000
0.5000 0.5000 0.0000
0.0000 0.5000 0.0000
0.5000 0.0000 0.0000
```

## Properties
**Total moment**: 1.48 μB/cell
**Space group**: No. 65
**Crystal system**: orthorhombic

Bottom line: 3, by a margin of 177 meV/atom.

1.
Here is an optimized crystal structure of ScBiAs2Se from the Alexandria database. Energies are from PBE.

Structure (POSCAR):
```
ScBiAs2Se
1.0
5.1703 0.0000 0.0000
0.0000 5.1703 0.0000
0.0000 0.0000 5.0482
Sc Bi As Se
1 1 2 1
Direct
0.0000 0.0000 0.0000
0.5000 0.5000 0.5000
0.0000 0.5000 0.0000
0.5000 0.0000 0.0000
0.0000 0.0000 0.5000
```

## Properties
**Total moment**: 0.00 μB/cell
**Space group**: No. 123
**Crystal system**: tetragonal

2.
Here is an optimized crystal structure of ScBiAs2Se from the Alexandria database. Energies are from PBE.

Structure (POSCAR):
```
ScBiAs2Se
1.0
5.3247 0.0000 0.0000
0.0000 5.3247 0.0000
0.0000 0.0000 5.4408
Sc Bi As Se
1 1 2 1
Direct
0.0000 0.0000 0.0000
0.5000 0.5000 0.5000
0.0000 0.5000 0.5000
0.5000 0.0000 0.5000
0.5000 0.5000 0.0000
```

## Properties
**Total moment**: 0.00 μB/cell
**Space group**: No. 123
**Crystal system**: tetragonal

Bottom line: 1, by a margin of 601 meV/atom.